Record 1
Here is an optimized crystal structure of Ca2AcCeAu4 from the Alexandria database. Energies are from GGA-PBE.

Cell: 5.2484 5.2484 26.2659 Å, 90.00 90.00 120.00°
Space group R-3m (No. 166, hexagonal axes)
Symmetry-distinct sites (fractional):
Ca  0.0000  0.0000  0.2474 [6 per cell]
Ac  0.0000  0.0000  0.0000 [3 per cell]
Ce  0.0000  0.0000  0.5000 [3 per cell]
Au  0.0000  0.0000  0.1279 [6 per cell]
Au  0.0000  0.0000  0.3813 [6 per cell]

Calculated values
* formation enthalpy at 0 K: -0.75 eV/atom


Record 2
Here is an optimized crystal structure of Ca2AcDyAu4 from the Alexandria database. Energies are from GGA-PBE.

Cell: 5.1730 5.1730 26.2845 Å, 90.00 90.00 120.00°
Space group R-3m (No. 166, hexagonal axes)
Symmetry-distinct sites (fractional):
Ca  0.0000  0.0000  0.2455 [6 per cell]
Ac  0.0000  0.0000  0.0000 [3 per cell]
Dy  0.0000  0.0000  0.5000 [3 per cell]
Au  0.0000  0.0000  0.1282 [6 per cell]
Au  0.0000  0.0000  0.3856 [6 per cell]

Calculated values
* formation enthalpy at 0 K: -0.80 eV/atom


Record 3
Here is an optimized crystal structure of CaAcGa2Au5 from the Alexandria database. Energies are from GGA-PBE.

Cell: 4.878 4.878 8.598 Å, 90.00 90.00 90.00°
Space group P4/mmm (No. 123)
Symmetry-distinct sites (fractional):
Ca  0.000  0.000  0.000 [1 per cell]
Ac  0.000  0.000  0.500 [1 per cell]
Ga  0.500  0.500  0.151 [2 per cell]
Au  0.000  0.500  0.251 [4 per cell]
Au  0.500  0.500  0.500 [1 per cell]

Calculated values
* formation enthalpy at 0 K: -0.55 eV/atom


Question: Which of these has the highest formation enthalpy at 0 K?
Answer: CaAcGa2Au5


Question: Which value of formation enthalpy at 0 K does entry 3 give?
Answer: -0.55 eV/atom


Question: The highest formation enthalpy at 0 K belongs to which entry?
Answer: CaAcGa2Au5


Question: Among the records above, which one has the lowest formation enthalpy at 0 K?
Answer: Ca2AcDyAu4